The following is a PBE-GGA calculation of crystalline LiMo2W at its relaxed geometry, from Alexandria.

a = 5.574 Å, b = 5.574 Å, c = 5.574 Å
α = 103.26°, β = 103.26°, γ = 122.78°
Positions (direct):
Li: 0.000 0.000 0.000
Li: 0.750 0.250 0.500
Mo: 0.121 0.625 0.996
Mo: 0.375 0.371 0.496
Mo: 0.629 0.125 0.004
Mo: 0.875 0.879 0.504
W: 0.250 0.750 0.500
W: 0.500 0.500 0.000

## Properties
* ΔE to the lowest computed polymorph: 689 meV/atom
* total magnetic moment: 0.000 μB/f.u.
* formation energy from the elements: 0.936 eV per atom

The following is a PBE-GGA calculation of crystalline LiMo2W at its relaxed geometry, from Alexandria.

a = 3.479 Å, b = 4.140 Å, c = 4.163 Å
α = 90.00°, β = 90.00°, γ = 90.00°
Positions (direct):
Li: 0.000 0.000 0.000
Mo: 0.000 0.500 0.500
Mo: 0.500 0.500 0.000
W: 0.500 0.000 0.500

## Properties
* ΔE to the lowest computed polymorph: 192 meV/atom
* total magnetic moment: 0.000 μB/f.u.
* formation energy from the elements: 0.439 eV per atom

The following is a PBE-GGA calculation of crystalline LiMoW2 at its relaxed geometry, from Alexandria.

a = 5.593 Å, b = 5.593 Å, c = 5.593 Å
α = 103.00°, β = 103.00°, γ = 123.37°
Positions (direct):
Li: 0.000 0.000 0.000
Li: 0.750 0.250 0.500
Mo: 0.250 0.750 0.500
Mo: 0.500 0.500 0.000
W: 0.120 0.625 0.995
W: 0.375 0.370 0.495
W: 0.630 0.125 0.005
W: 0.875 0.880 0.505

## Properties
* ΔE to the lowest computed polymorph: 788 meV/atom
* total magnetic moment: 0.000 μB/f.u.
* formation energy from the elements: 1.071 eV per atom

The following is a PBE-GGA calculation of crystalline LiMoW2 at its relaxed geometry, from Alexandria.

a = 5.284 Å, b = 5.284 Å, c = 2.654 Å
α = 100.36°, β = 100.36°, γ = 117.51°
Positions (direct):
Li: 0.000 0.000 0.000
Mo: 0.500 0.500 0.000
W: 0.000 0.500 0.500
W: 0.500 0.000 0.500

## Properties
* ΔE to the lowest computed polymorph: 53 meV/atom
* total magnetic moment: 0.000 μB/f.u.
* formation energy from the elements: 0.335 eV per atom

The following is a PBE-GGA calculation of crystalline LiMoW2 at its relaxed geometry, from Alexandria.

a = 2.664 Å, b = 4.458 Å, c = 5.248 Å
α = 90.00°, β = 98.45°, γ = 90.00°
Positions (direct):
Li: 0.000 0.000 0.000
Mo: 0.765 0.500 0.248
W: 0.231 0.500 0.746
W: 0.510 0.000 0.499

## Properties
* ΔE to the lowest computed polymorph: 34 meV/atom
* total magnetic moment: 0.000 μB/f.u.
* formation energy from the elements: 0.316 eV per atom

The following is a PBE-GGA calculation of crystalline LiMoW2 at its relaxed geometry, from Alexandria.

a = 2.665 Å, b = 4.497 Å, c = 5.188 Å
α = 90.00°, β = 97.61°, γ = 90.00°
Positions (direct):
Li: 0.000 0.000 0.000
Mo: 0.500 0.000 0.500
W: 0.242 0.500 0.750
W: 0.758 0.500 0.250

## Properties
* ΔE to the lowest computed polymorph: 32 meV/atom
* total magnetic moment: 0.000 μB/f.u.
* formation energy from the elements: 0.314 eV per atom

The following is a PBE-GGA calculation of crystalline LiMo2W at its relaxed geometry, from Alexandria.

a = 4.764 Å, b = 4.764 Å, c = 5.226 Å
α = 92.45°, β = 92.45°, γ = 31.55°
Positions (direct):
Li: 0.000 0.000 0.000
Mo: 0.502 0.502 0.500
Mo: 0.748 0.748 0.243
W: 0.253 0.253 0.756

## Properties
* ΔE to the lowest computed polymorph: 152 meV/atom
* total magnetic moment: 0.000 μB/f.u.
* formation energy from the elements: 0.399 eV per atom

The following is a PBE-GGA calculation of crystalline LiMoW2 at its relaxed geometry, from Alexandria.

a = 2.708 Å, b = 2.708 Å, c = 9.212 Å
α = 90.00°, β = 90.00°, γ = 108.83°
Positions (direct):
Li: 0.000 0.000 0.000
Mo: 0.500 0.500 0.257
W: 0.000 0.000 0.500
W: 0.500 0.500 0.744

## Properties
* ΔE to the lowest computed polymorph: 0 meV/atom
* total magnetic moment: 0.000 μB/f.u.
* formation energy from the elements: 0.282 eV per atom

The following is a PBE-GGA calculation of crystalline Li2YMo at its relaxed geometry, from Alexandria.

a = 5.581 Å, b = 5.581 Å, c = 5.581 Å
α = 148.73°, β = 125.34°, γ = 64.33°
Positions (direct):
Li: 0.000 0.000 0.000
Li: 0.791 0.291 0.500
Y: 0.521 0.521 0.000
Mo: 0.252 0.752 0.500

## Properties
* ΔE to the lowest computed polymorph: 116 meV/atom
* total magnetic moment: 0.000 μB/f.u.
* formation energy from the elements: 0.513 eV per atom

The following is a PBE-GGA calculation of crystalline LiY4Mo at its relaxed geometry, from Alexandria.

a = 6.291 Å, b = 6.291 Å, c = 6.291 Å
α = 60.00°, β = 60.00°, γ = 60.00°
Positions (direct):
Li: 0.000 0.000 0.000
Y: 0.377 0.377 0.377
Y: 0.377 0.377 0.869
Y: 0.377 0.869 0.377
Y: 0.869 0.377 0.377
Mo: 0.750 0.750 0.750

## Properties
* total magnetic moment: 2.593 μB/f.u.
* formation energy from the elements: 0.892 eV per atom

The following is a PBE-GGA calculation of crystalline Li2YMo at its relaxed geometry, from Alexandria.

a = 2.843 Å, b = 4.538 Å, c = 6.203 Å
α = 90.00°, β = 102.99°, γ = 90.00°
Positions (direct):
Li: 0.000 0.000 0.000
Li: 0.295 0.500 0.222
Y: 0.403 0.500 0.693
Mo: 0.801 0.000 0.451

## Properties
* ΔE to the lowest computed polymorph: 84 meV/atom
* total magnetic moment: 0.000 μB/f.u.
* formation energy from the elements: 0.481 eV per atom

The following is a PBE-GGA calculation of crystalline Li2Y2Mo at its relaxed geometry, from Alexandria.

a = 7.870 Å, b = 7.870 Å, c = 3.517 Å
α = 90.00°, β = 90.00°, γ = 90.00°
Positions (direct):
Li: 0.141 0.359 0.000
Li: 0.359 0.859 0.000
Li: 0.641 0.141 0.000
Li: 0.859 0.641 0.000
Y: 0.162 0.662 0.500
Y: 0.338 0.162 0.500
Y: 0.662 0.838 0.500
Y: 0.838 0.338 0.500
Mo: 0.000 0.000 0.500
Mo: 0.500 0.500 0.500

## Properties
* ΔE to the lowest computed polymorph: 308 meV/atom
* total magnetic moment: 0.363 μB/f.u.
* formation energy from the elements: 0.622 eV per atom

Look up the total magnetic moment of the eleventh one. 0.000 μB/f.u.